## SrAlGaAu2 (PBE)

Data for an optimized crystal structure of SrAlGaAu2.

Computed properties:
size of the total moment	0.00	μB/atom
energy of formation from the pure elements	-0.606	eV/atom
density of states at the Fermi level	2.74	states/eV/f.u.
V	22.19	Å³ per atom

CIF file:
```
data_SrAlGaAu2
_symmetry_space_group_name_H-M 'I -4 m 2'
_symmetry_Int_Tables_number 119
_symmetry_space_group_name_Hall 'I -4 -2'
_cell_length_a 4.4165
_cell_length_b 4.4165
_cell_length_c 11.3774
_cell_angle_alpha 90.00
_cell_angle_beta 90.00
_cell_angle_gamma 90.00
loop_
_atom_site_label
_atom_site_type_symbol
_atom_site_fract_x
_atom_site_fract_y
_atom_site_fract_z
Sr1 Sr 0.0000 0.0000 0.0000
Al1 Al 0.0000 0.5000 0.2500
Ga1 Ga 0.0000 0.5000 0.7500
Au1 Au 0.0000 0.0000 0.3744
```